This record from Alexandria via LeMat-Bulk describes crystalline TbPuGaIr at its relaxed geometry. The functional is PBE-GGA.

Calculated values
**Energy of formation from the pure elements**: -0.4659 eV per atom

Unit cell a=7.021 b=7.021 c=7.021 alpha=90.00 beta=90.00 gamma=90.00
Space group F-43m (No. 216)
Inequivalent atoms, fractional coordinates:
Tb 0.000 0.000 0.000 x4
Pu 0.000 0.000 0.500 x4
Ga 0.250 0.250 0.750 x4
Ir 0.250 0.250 0.250 x4

This record from Alexandria via LeMat-Bulk describes crystalline PrGaSb3 at its relaxed geometry. The functional is PBE-GGA.

Calculated values
**Uncorrected energy**: -4.47 eV per atom

Unit cell a=14.416 b=6.104 c=6.338 alpha=90.00 beta=90.00 gamma=90.00
Space group Pbcm (No. 57)
Inequivalent atoms, fractional coordinates:
Pr 0.175 0.003 0.250 x4
Ga 0.390 0.250 0.000 x4
Sb 0.000 0.250 0.000 x4
Sb 0.247 0.511 0.250 x4
Sb 0.410 0.669 0.750 x4

This record from Alexandria via LeMat-Bulk describes crystalline Be6ZnAu6 at its relaxed geometry. The functional is PBE-GGA.

Calculated values
**Energy of formation from the pure elements**: -0.1220 eV per atom

Unit cell a=4.9043 b=4.9043 c=8.3363 alpha=90.00 beta=90.00 gamma=120.00
Space group P6/mmm (No. 191)
Inequivalent atoms, fractional coordinates:
Be 0.0000 0.5000 0.2462 x6
Zn 0.0000 0.0000 0.0000 x1
Au 0.0000 0.0000 0.3236 x2
Au 0.3333 0.6667 0.0000 x2
Au 0.3333 0.6667 0.5000 x2

This record from Alexandria via LeMat-Bulk describes crystalline Ta3Co2Ni3 at its relaxed geometry. The functional is PBE-GGA.

Calculated values
**Energy of formation from the pure elements**: -0.2041 eV per atom

Unit cell a=6.4818 b=6.4818 c=3.0217 alpha=90.00 beta=90.00 gamma=120.00
Space group P-62m (No. 189)
Inequivalent atoms, fractional coordinates:
Ta 0.0000 0.3976 0.0000 x3
Co 0.3333 0.6667 0.5000 x2
Ni 0.0000 0.7735 0.5000 x3

This record from Alexandria via LeMat-Bulk describes crystalline CuAg2Ge at its relaxed geometry. The functional is PBE-GGA.

Calculated values
**Energy of formation from the pure elements**: 0.1694 eV per atom

Unit cell a=2.8969 b=2.8969 c=27.8230 alpha=90.00 beta=90.00 gamma=120.00
Space group R3m (No. 160, hexagonal axes)
Inequivalent atoms, fractional coordinates:
Cu 0.0000 0.0000 0.0000 x3
Ag 0.0000 0.0000 0.4107 x3
Ag 0.0000 0.0000 0.5893 x3
Ge 0.0000 0.0000 0.8332 x3

This record from Alexandria via LeMat-Bulk describes crystalline AcSm3Sb3 at its relaxed geometry. The functional is PBE-GGA.

Calculated values
**Uncorrected energy**: -5.20 eV per atom

Unit cell a=9.4069 b=9.4069 c=5.8398 alpha=90.00 beta=90.00 gamma=120.00
Space group P6_3/m (No. 176)
Inequivalent atoms, fractional coordinates:
Ac 0.3333 0.6667 0.2500 x2
Sm 0.0112 0.2509 0.2500 x6
Sb 0.0580 0.4205 0.7500 x6

This record from Alexandria via LeMat-Bulk describes crystalline AgAu2Br at its relaxed geometry. The functional is PBE-GGA.

Calculated values
**Uncorrected energy**: -2.68 eV per atom

Unit cell a=3.552 b=3.552 c=6.747 alpha=90.00 beta=90.00 gamma=90.00
Space group P4mm (No. 99)
Inequivalent atoms, fractional coordinates:
Ag 0.000 0.000 0.000 x1
Au 0.000 0.000 0.422 x1
Au 0.500 0.500 0.239 x1
Br 0.500 0.500 0.763 x1

This record from Alexandria via LeMat-Bulk describes crystalline NpCoB2 at its relaxed geometry. The functional is PBE-GGA.

Calculated values
**Energy of formation from the pure elements**: -0.1115 eV per atom

Unit cell a=3.3995 b=3.3995 c=14.0069 alpha=90.00 beta=90.00 gamma=120.00
Space group R-3m (No. 166, hexagonal axes)
Inequivalent atoms, fractional coordinates:
Np 0.0000 0.0000 0.0000 x3
Co 0.0000 0.0000 0.5000 x3
B 0.0000 0.0000 0.1967 x6

This record from Alexandria via LeMat-Bulk describes crystalline CrSi2Ni7As2 at its relaxed geometry. The functional is PBE-GGA.

Calculated values
**Uncorrected energy**: -5.94 eV per atom

Unit cell a=4.939 b=4.917 c=13.171 alpha=90.00 beta=96.56 gamma=90.00
Space group C2/m (No. 12)
Inequivalent atoms, fractional coordinates:
Cr 0.000 0.000 0.000 x2
Si 0.081 0.500 0.255 x4
Ni 0.000 0.500 0.000 x2
Ni 0.173 0.500 0.431 x4
Ni 0.207 0.250 0.862 x8
As 0.156 0.000 0.393 x4

D(E_F)
In order: 7.4, 2.3, 1.8, 4.0, 1.0, 5.1, 0.6, 6.4, 7.9
Unit: states/eV/f.u.